(1)
Material: MnPtN2
Method: DFT, GGA-PBE
State: optimized geometry

Properties
Energy above the most stable polymorph in this dataset, meV per atom: 1238
Formation energy from raw total energies, meV/atom: 1326
Total magnetization, μB per formula unit: 0.001
Total energy, eV/f.u.: -26.6
Symmetry: Fm-3m, No. 225

a b c (Å): 3.7741 3.7741 3.7741
angles (deg): 60.00 60.00 60.00
Fractional positions:
N 0.2500 0.2500 0.2500
Mn 0.0000 0.0000 0.0000
Pt 0.5000 0.5000 0.5000
N 0.7500 0.7500 0.7500


(2)
Material: CePmCdSn
Method: DFT, GGA-PBE
State: optimized geometry

Properties
Total magnetization, μB per formula unit: 1.077
Total energy, eV/f.u.: -17.4
DFT formation energy, eV per atom: -0.45
Symmetry: F-43m, No. 216

a b c (Å): 5.4242 5.4242 5.4242
angles (deg): 60.00 60.00 60.00
Last column: magnetic moment on the atom in μB.
Fractional positions:
Cd 0.7500 0.7500 0.7500  0.01
Sn 0.2500 0.2500 0.2500  0.00
Ce 0.0000 0.0000 0.0000  0.85
Pm 0.5000 0.5000 0.5000  0.05


(3)
Material: YTl2In
Method: DFT, GGA-PBE
State: optimized geometry

Properties
Total magnetization, μB per formula unit: 0.000
Total energy, eV/f.u.: -14.2
DFT formation energy, eV per atom: -0.07
Symmetry: R-3m, No. 166

a b c (Å): 10.7216 10.7216 10.7216
angles (deg): 19.09 19.09 19.09
Fractional positions:
Tl 0.9998 0.9998 0.9998
In 0.7500 0.7500 0.7500
Tl 0.5002 0.5002 0.5002
Y 0.2500 0.2500 0.2500


(4)
Material: CdP2I2
Method: DFT, GGA-PBE
State: optimized geometry

Properties
Energy above the most stable polymorph in this dataset, meV per atom: 0
Formation energy from raw total energies, meV/atom: 439
Total magnetization, μB per formula unit: 0.000
Total energy, eV/f.u.: -12.6
Symmetry: I4/mmm, No. 139

a b c (Å): 5.8010 5.8010 6.1196
angles (deg): 61.71 61.71 90.00
Fractional positions:
I 0.2500 0.7500 0.5000
Cd 0.0000 0.0000 0.0000
I 0.7500 0.2500 0.5000
P 0.3920 0.3920 0.2161
P 0.6080 0.6080 0.7839


(5)
Material: Pr3Sm2HoS6
Method: DFT, GGA-PBE
State: optimized geometry

Properties
Formation energy from raw total energies, meV/atom: -2019
Total magnetization, μB per formula unit: 0.000
Total energy, eV/f.u.: -77.3
Symmetry: C2/m, No. 12

a b c (Å): 6.9760 6.9760 7.0297
angles (deg): 99.50 99.50 120.16
Fractional positions:
S 0.4047 0.0785 0.2362
Pr 0.1700 0.8300 0.5000
Pr 0.8300 0.1700 0.5000
Sm 0.6669 0.3331 0.0000
S 0.2464 0.2464 0.7610
Pr 0.5000 0.5000 0.5000
S 0.0785 0.4047 0.2362
Ho 0.0000 0.0000 0.0000
S 0.5953 0.9215 0.7638
S 0.9215 0.5953 0.7638
S 0.7536 0.7536 0.2390
Sm 0.3331 0.6669 0.0000


(6)
Material: Y5HoEr2Sc
Method: DFT, GGA-PBE
State: optimized geometry

Properties
Total magnetization, μB per formula unit: 0.000
Total energy, eV/f.u.: -50.9
DFT formation energy, eV per atom: 0.16
Symmetry: Cmc2_1, No. 36

a b c (Å): 5.5665 10.8484 9.7389
angles (deg): 90.00 90.00 104.87
Fractional positions:
Y 0.3062 0.6125 0.7069
Sc 0.1860 0.3720 0.0246
Er 0.1054 0.2108 0.3158
Y 0.6938 0.3875 0.2069
Y 0.3629 0.7257 0.0323
Y 0.2499 0.4999 0.3697
Ho 0.6058 0.2115 0.9235
Y 0.4820 0.9639 0.7329
Y 0.5180 0.0361 0.2329
Er 0.8794 0.7589 0.2139
Sc 0.8140 0.6280 0.5246
Y 0.0212 0.0424 0.0045
Y 0.7501 0.5001 0.8697
Y 0.6371 0.2743 0.5323
Y 0.9788 0.9576 0.5045
Ho 0.3942 0.7885 0.4235
Er 0.8946 0.7892 0.8158
Er 0.1206 0.2411 0.7139